# BaPOs3 PBE relaxed
# **Crystal system**: cubic
# **Calculated volume**: 19.259 Å³ per atom
# **Excess energy over the best structure of this formula in the dataset**: 0.0000 eV per atom
# **ΔH_f (0 K)**: 823.1 meV per atom
# **Total magnetic moment**: 0.00 Bohr magnetons per cell
data_BaPOs3
_chemical_formula_sum 'Ba1 P1 Os3'
_space_group_name_H-M_alt 'P m -3 m'
_space_group_IT_number 221
_space_group_name_Hall '-P 4 2 3'
_cell_length_a 4.584
_cell_length_b 4.584
_cell_length_c 4.584
_cell_angle_alpha 90.00
_cell_angle_beta 90.00
_cell_angle_gamma 90.00
loop_
_atom_site_label
_atom_site_type_symbol
_atom_site_fract_x
_atom_site_fract_y
_atom_site_fract_z
_atom_site_occupancy
Ba1 Ba 0.000 0.000 0.000 1
P1 P 0.500 0.500 0.500 1
Os1 Os 0.000 0.500 0.500 1

# GdLuCu PBE relaxed
# **Crystal system**: trigonal
# **Calculated volume**: 24.745 Å³ per atom
# **Excess energy over the best structure of this formula in the dataset**: 0.1906 eV per atom
# **ΔH_f (0 K)**: 39.8 meV per atom
# **Total magnetic moment**: 7.38 Bohr magnetons per cell
data_GdLuCu
_chemical_formula_sum 'Gd1 Lu1 Cu1'
_space_group_name_H-M_alt 'P 3 m 1'
_space_group_IT_number 156
_space_group_name_Hall 'P 3 -2"'
_cell_length_a 4.7316
_cell_length_b 4.7316
_cell_length_c 3.8288
_cell_angle_alpha 90.00
_cell_angle_beta 90.00
_cell_angle_gamma 120.00
loop_
_atom_site_label
_atom_site_type_symbol
_atom_site_fract_x
_atom_site_fract_y
_atom_site_fract_z
_atom_site_occupancy
Gd1 Gd 0.0000 0.0000 0.0000 1
Lu1 Lu 0.3333 0.6667 0.4862 1
Cu1 Cu 0.6667 0.3333 0.6483 1

# CsYCdO3 PBE relaxed
# **Crystal system**: monoclinic
# **Raw formation energy**: -12.25 eV/f.u.
# **Calculated volume**: 20.730 Å³ per atom
# **Total magnetic moment**: 0.00 Bohr magnetons per cell
data_CsYCdO3
_chemical_formula_sum 'Cs2 Y2 Cd2 O6'
_space_group_name_H-M_alt 'P 1 21/m 1'
_space_group_IT_number 11
_space_group_name_Hall '-P 2yb'
_cell_length_a 7.344
_cell_length_b 3.639
_cell_length_c 9.964
_cell_angle_alpha 90.00
_cell_angle_beta 110.90
_cell_angle_gamma 90.00
loop_
_atom_site_label
_atom_site_type_symbol
_atom_site_fract_x
_atom_site_fract_y
_atom_site_fract_z
_atom_site_occupancy
Cs1 Cs 0.148 0.250 0.190 1
Y1 Y 0.377 0.250 0.849 1
Cd1 Cd 0.179 0.750 0.554 1
O1 O 0.055 0.250 0.654 1
O2 O 0.325 0.750 0.979 1
O3 O 0.444 0.750 0.727 1

The highest calculated volume belongs to which entry? GdLuCu

Which value of calculated volume does entry 3 give? 20.730 Å³ per atom

What is the total magnetic moment in the third record? 0.00 Bohr magnetons per cell

Among the records above, which one has the lowest calculated volume? BaPOs3